# RbSrB2Te (PBE-GGA, optimized geometry)
data_RbSrB2Te
_space_group_name_H-M_alt 'P 4/m m m'
_space_group_IT_number 123
_space_group_name_Hall '-P 4 2'
_cell_length_a 5.548
_cell_length_b 5.548
_cell_length_c 6.251
_cell_angle_alpha 90.00
_cell_angle_beta 90.00
_cell_angle_gamma 90.00
loop_
_atom_site_label
_atom_site_fract_x
_atom_site_fract_y
_atom_site_fract_z
Rb1 0.000 0.000 0.000
Sr1 0.500 0.500 0.500
B1 0.000 0.500 0.500
Te1 0.500 0.500 0.000
# formation energy without anion corrections	1.278	eV per atom
# M_tot	0.45	μB per atom



# HfNb2Te5 (PBE-GGA, optimized geometry)
data_HfNb2Te5
_space_group_name_H-M_alt 'F m m m'
_space_group_IT_number 69
_space_group_name_Hall '-F 2 2'
_cell_length_a 5.155
_cell_length_b 14.104
_cell_length_c 14.533
_cell_angle_alpha 90.00
_cell_angle_beta 90.00
_cell_angle_gamma 90.00
loop_
_atom_site_label
_atom_site_fract_x
_atom_site_fract_y
_atom_site_fract_z
Hf1 0.000 0.000 0.000
Nb1 0.000 0.000 0.307
Te1 0.000 0.000 0.500
Te2 0.000 0.130 0.161
# formation energy without anion corrections	-0.276	eV per atom
# M_tot	0.00	μB per atom



# Cd2CoTc (PBE-GGA, optimized geometry)
data_Cd2CoTc
_space_group_name_H-M_alt 'I 4/m m m'
_space_group_IT_number 139
_space_group_name_Hall '-I 4 2'
_cell_length_a 3.982
_cell_length_b 3.982
_cell_length_c 8.431
_cell_angle_alpha 90.00
_cell_angle_beta 90.00
_cell_angle_gamma 90.00
loop_
_atom_site_label
_atom_site_fract_x
_atom_site_fract_y
_atom_site_fract_z
Cd1 0.000 0.500 0.250
Co1 0.000 0.000 0.000
Tc1 0.000 0.000 0.500
# M_tot	0.87	μB per atom
# energy of formation	0.531	eV/atom



| no. | N(E_F) (states/eV/cell) |
| --- | --- |
| 1 | 3.25 |
| 2 | 8.77 |
| 3 | 7.97 |